Computed, not measured: crystalline VZn3I9 at its relaxed geometry at the PBE-GGA level of DFT.

## Properties
The value obtained for the uncorrected formation energy is -0.453 eV per atom. Its volume is 40.55 A^3/atom. The spin magnetization comes out at 2.0 μB/f.u.

Cell lengths 19.425, 9.975, 14.020 Å; angles 90.00, 129.08, 90.00 degrees
Space group Cc (No. 9)
Asymmetric unit:
V: 0.000 0.223 0.000
Zn: 0.129 0.114 0.822
Zn: 0.231 0.443 0.724
Zn: 0.371 0.072 0.674
I: 0.003 0.308 0.202
I: 0.100 0.347 0.715
I: 0.135 0.062 0.185
I: 0.144 0.371 0.048
I: 0.248 0.258 0.600
I: 0.300 0.131 0.018
I: 0.362 0.455 0.440
I: 0.396 0.062 0.366
I: 0.495 0.416 0.325